Here is a relaxed Zn2S2O11 crystal from Alexandria via LeMat-Bulk. Energies are from PBE.

Lattice parameters (Å, degrees): 7.468 8.908 9.032 92.39 90.53 113.99
Element x y z (fractional)
Zn 0.000 0.000 0.000
Zn 0.025 0.731 0.490
Zn 0.500 0.500 0.500
Zn 0.975 0.269 0.510
S 0.180 0.531 0.286
S 0.283 0.115 0.614
S 0.717 0.885 0.386
S 0.820 0.469 0.714
O 0.023 0.360 0.317
O 0.083 0.653 0.302
O 0.188 0.134 0.121
O 0.202 0.972 0.502
O 0.217 0.081 0.766
O 0.231 0.800 0.977
O 0.247 0.259 0.552
O 0.319 0.582 0.431
O 0.365 0.503 0.867
O 0.383 0.830 0.049
O 0.426 0.595 0.764
O 0.574 0.405 0.236
O 0.617 0.170 0.951
O 0.635 0.497 0.133
O 0.681 0.418 0.569
O 0.753 0.741 0.448
O 0.769 0.200 0.023
O 0.783 0.919 0.234
O 0.798 0.028 0.498
O 0.812 0.866 0.879
O 0.917 0.347 0.698
O 0.977 0.640 0.683

Properties
DOS(E_F): 0.05 states/eV/atom
energy: -5.014 eV/atom
space-group type: P-1
formation energy (no corrections): -9.86 eV per formula unit